Entry from Alexandria via LeMat-Bulk: a PBEsol-optimized structure of Mg2ZnIr2 (SCAN).

Electronic total energy (Ry/atom): -2.4247
Calculated volume (Å³/atom): 18.4
Energy relative to the elements (eV per formula unit): 0.71

a b c (Å): 7.612 7.612 7.612
angles (deg): 152.79 152.79 38.86
Fractional positions:
Mg  0.105  0.105  0.000
Mg  0.895  0.895  0.000
Zn  0.500  0.500  0.000
Ir  0.250  0.750  0.500
Ir  0.750  0.250  0.500

---

Entry from Alexandria via LeMat-Bulk: a PBEsol-optimized structure of CdNi6Ir (SCAN).

Electronic total energy (Ry/atom): -1.8184
Calculated volume (Å³/atom): 11.8
Energy relative to the elements (eV per formula unit): 0.63

a b c (Å): 6.266 6.266 10.229
angles (deg): 90.00 90.00 109.54
Fractional positions:
Cd  0.000  0.000  0.249
Cd  0.000  0.000  0.751
Cd  0.245  0.755  0.500
Cd  0.755  0.245  0.500
Ni  0.000  0.000  0.000
Ni  0.000  0.000  0.500
Ni  0.130  0.385  0.122
Ni  0.130  0.385  0.878
Ni  0.135  0.380  0.371
Ni  0.135  0.380  0.629
Ni  0.255  0.745  0.243
Ni  0.255  0.745  0.757
Ni  0.380  0.135  0.371
Ni  0.380  0.135  0.629
Ni  0.385  0.130  0.122
Ni  0.385  0.130  0.878
Ni  0.500  0.500  0.000
Ni  0.500  0.500  0.500
Ni  0.615  0.870  0.122
Ni  0.615  0.870  0.878
Ni  0.620  0.865  0.371
Ni  0.620  0.865  0.629
Ni  0.745  0.255  0.243
Ni  0.745  0.255  0.757
Ni  0.865  0.620  0.371
Ni  0.865  0.620  0.629
Ni  0.870  0.615  0.122
Ni  0.870  0.615  0.878
Ir  0.243  0.757  0.000
Ir  0.500  0.500  0.250
Ir  0.500  0.500  0.750
Ir  0.757  0.243  0.000

---

Entry from Alexandria via LeMat-Bulk: a PBEsol-optimized structure of Fe2HgSe (SCAN).

Formation energy (no corrections) (eV/atom): 0.188
Electronic total energy (Ry/atom): -2.2739
Calculated volume (Å³/atom): 16.4

a b c (Å): 8.483 8.483 8.483
angles (deg): 20.49 20.49 20.49
Fractional positions:
Fe  0.000  0.000  0.000
Fe  0.269  0.269  0.269
Hg  0.754  0.754  0.754
Se  0.538  0.538  0.538

---

Entry from Alexandria via LeMat-Bulk: a PBEsol-optimized structure of ScAg3 (SCAN).

Electronic total energy (Ry/atom): -2.0055
Calculated volume (Å³/atom): 17.8
Energy relative to the elements (eV per formula unit): -0.80

a b c (Å): 3.403 3.403 6.146
angles (deg): 90.00 90.00 90.00
Fractional positions:
Sc  0.000  0.000  0.000
Ag  0.000  0.000  0.500
Ag  0.500  0.500  0.260
Ag  0.500  0.500  0.740

---

Entry from Alexandria via LeMat-Bulk: a PBEsol-optimized structure of LaTl7 (SCAN).

Electronic total energy (Ry/atom): -5.0652
Calculated volume (Å³/atom): 27.8
Energy relative to the elements (eV per formula unit): -1.71

a b c (Å): 6.802 6.802 6.802
angles (deg): 60.00 60.00 60.00
Fractional positions:
La  0.000  0.000  0.000
Tl  0.000  0.000  0.500
Tl  0.000  0.500  0.000
Tl  0.000  0.500  0.500
Tl  0.500  0.000  0.000
Tl  0.500  0.000  0.500
Tl  0.500  0.500  0.000
Tl  0.500  0.500  0.500

---

Entry from Alexandria via LeMat-Bulk: a PBEsol-optimized structure of HfScCuPt2 (SCAN).

Electronic total energy (Ry/atom): -3.3388
Calculated volume (Å³/atom): 21.2
Energy relative to the elements (eV per formula unit): 5.36

a b c (Å): 4.649 4.649 4.906
angles (deg): 90.00 90.00 90.00
Fractional positions:
Hf  0.000  0.000  0.000
Sc  0.000  0.000  0.500
Cu  0.500  0.500  0.000
Pt  0.000  0.500  0.500
Pt  0.500  0.000  0.500